Compound: Hf3Ti4Sb2
Source: Alexandria via LeMat-Bulk
Functional: GGA-PBE
Structure: optimized geometry

The structure belongs to space group C2/m (No. 12); the cell edges are 10.141, 3.918 and 9.538 Å and the angles 90.00°, 110.51° and 90.00°. The asymmetric unit holds Hf at (0.000, 0.000, 0.000), Hf at (0.155, 0.500, 0.547), Ti at (0.008, 0.000, 0.685), Ti at (0.173, 0.500, 0.895) and Sb at (0.171, 0.500, 0.223).

The total DFT energy (no corrections) comes out at -143.70 eV/cell. The formation energy without anion corrections comes out at -0.24 eV/atom. The crystal system is monoclinic.

Compound: BaBeGa
Source: Alexandria via LeMat-Bulk
Functional: GGA-PBE
Structure: optimized geometry

The structure belongs to space group Imm2 (No. 44); the cell edges are 4.027, 4.137 and 20.188 Å and the angles 90.00°, 90.00° and 90.00°. The asymmetric unit holds Ba at (0.000, 0.000, 0.000), Ba at (0.000, 0.000, 0.294), Be at (0.000, 0.000, 0.706), Be at (0.000, 0.500, 0.155), Ga at (0.000, 0.000, 0.579) and Ga at (0.000, 0.500, 0.658).

For the energy above the most stable polymorph in this dataset, the calculation gives 0.136 eV per atom. The total DFT energy (no corrections) comes out at -35.05 eV/cell. The crystal system is orthorhombic.

Compound: Ca3NdPu2Te6
Source: Alexandria via LeMat-Bulk
Functional: GGA-PBE
Structure: optimized geometry

The structure belongs to space group C2/m (No. 12); the cell edges are 7.751, 13.421 and 7.842 Å and the angles 90.00°, 109.24° and 90.00°. The asymmetric unit holds Ca at (0.000, 0.000, 0.000), Ca at (0.000, 0.334, 0.000), Nd at (0.000, 0.500, 0.500), Pu at (0.000, 0.167, 0.500), Te at (0.248, 0.000, 0.751) and Te at (0.248, 0.168, 0.248).

The total DFT energy (no corrections) comes out at -149.89 eV/cell. The formation energy without anion corrections comes out at -1.39 eV/atom. The crystal system is monoclinic.

no.,magnetic moment (μB/cell)
1,0.000
2,0.537
3,24.577